No. 1
Compound: LiTa2Pb
Source: Alexandria via LeMat-Bulk
Functional: GGA-PBEsol
Structure: optimized geometry

## Properties
Formation energy from the elements   589 meV/atom
Mass density   13.27 Mg/m³
SG   P4/mmm

a b c (Å): 3.5776 3.5776 5.6312
angles (deg): 90.00 90.00 90.00
Closest atoms and distances in Å follow each position.
Positions (direct):
Li 0.0000 0.0000 0.0000  2 Pb 2.82, 8 Ta 2.88
Ta 0.5000 0.5000 0.2440  2 Ta 2.75-2.88, 4 Li 2.88, 4 Pb 2.91
Ta 0.5000 0.5000 0.7560  2 Ta 2.75-2.88, 4 Li 2.88, 4 Pb 2.91
Pb 0.0000 0.0000 0.5000  2 Li 2.82, 8 Ta 2.91



No. 2
Compound: Tl3CdO
Source: Alexandria via LeMat-Bulk
Functional: GGA-PBEsol
Structure: optimized geometry

## Properties
Mass density   9.84 Mg/m³
SG   Pm-3m
ΔE_f (raw)   -67 meV/atom

a b c (Å): 5.0013 5.0013 5.0013
angles (deg): 90.00 90.00 90.00
Closest atoms and distances in Å follow each position.
Positions (direct):
Tl 0.0000 0.0000 0.5000  2 O 2.50
Tl 0.0000 0.5000 0.0000  2 O 2.50
Tl 0.5000 0.0000 0.0000  2 O 2.50
Cd 0.5000 0.5000 0.5000  12 Tl 3.54
O 0.0000 0.0000 0.0000  6 Tl 2.50